InAgSb2 after structural relaxation. Source: the Alexandria database, functional PBE.

Structure (POSCAR):
```
InAgSb2
1.0
4.1349 0.0000 0.0000
0.0000 4.2273 0.0000
0.0000 0.0000 12.1315
In Ag Sb
2 2 4
Direct
0.0000 0.0000 0.0000 In
0.5000 0.5000 0.5000 In
0.0000 0.5000 0.7853 Ag
0.5000 0.0000 0.2853 Ag
0.0000 0.0000 0.6053 Sb
0.0000 0.5000 0.2988 Sb
0.5000 0.0000 0.7988 Sb
0.5000 0.5000 0.1053 Sb
```

Values from the calculation:
Space group: Imm2, No. 44
Crystal system: orthorhombic
Calculated total energy (eV per cell): -26.699
Density (g/cm³): 7.302
Formation energy without anion corrections (kJ/mol of atoms): 12

InAgSb2 after structural relaxation. Source: the Alexandria database, functional PBE.

Structure (POSCAR):
```
InAgSb2
1.0
8.5451 0.0000 0.0000
0.0000 3.1940 0.0000
-0.8913 0.0000 7.6900
In Ag Sb
2 2 4
Direct
0.0000 0.0000 0.0000 In
0.5000 0.5000 0.0000 In
0.2329 0.5000 0.2202 Ag
0.7329 0.0000 0.2202 Ag
0.2669 0.0000 0.7269 Sb
0.4627 0.0000 0.4403 Sb
0.7669 0.5000 0.7269 Sb
0.9627 0.5000 0.4403 Sb
```

Values from the calculation:
Space group: Cm, No. 8
Crystal system: monoclinic
Calculated total energy (eV per cell): -27.010
Density (g/cm³): 7.377
Formation energy without anion corrections (kJ/mol of atoms): 8

In4Ag15Sb after structural relaxation. Source: the Alexandria database, functional PBE.

Structure (POSCAR):
```
In4Ag15Sb
1.0
4.2233 0.0000 0.0000
0.0000 4.2233 0.0000
0.0000 0.0000 21.5049
In Ag Sb
4 15 1
Direct
0.0000 0.0000 0.0998 In
0.0000 0.0000 0.2990 In
0.0000 0.0000 0.7010 In
0.0000 0.0000 0.9002 In
0.0000 0.5000 0.0000 Ag
0.0000 0.5000 0.1991 Ag
0.0000 0.5000 0.3971 Ag
0.0000 0.5000 0.6029 Ag
0.0000 0.5000 0.8009 Ag
0.5000 0.0000 0.0000 Ag
0.5000 0.0000 0.1991 Ag
0.5000 0.0000 0.3971 Ag
0.5000 0.0000 0.6029 Ag
0.5000 0.0000 0.8009 Ag
0.5000 0.5000 0.0997 Ag
0.5000 0.5000 0.2976 Ag
0.5000 0.5000 0.5000 Ag
0.5000 0.5000 0.7024 Ag
0.5000 0.5000 0.9003 Ag
0.0000 0.0000 0.5000 Sb
```

Values from the calculation:
Space group: P4/mmm, No. 123
Crystal system: tetragonal
Calculated total energy (eV per cell): -57.948
Density (g/cm³): 9.520
Formation energy without anion corrections (kJ/mol of atoms): 0

InAg2Sb after structural relaxation. Source: the Alexandria database, functional PBE.

Structure (POSCAR):
```
InAg2Sb
1.0
3.0649 0.0000 0.0000
0.0000 4.3580 0.0000
0.0000 0.0000 6.8687
In Ag Sb
1 2 1
Direct
0.0000 0.0000 0.0000 In
0.5000 0.5000 0.2159 Ag
0.5000 0.5000 0.7841 Ag
0.5000 0.0000 0.5000 Sb
```

Values from the calculation:
Space group: Pmmm, No. 47
Crystal system: orthorhombic
Calculated total energy (eV per cell): -12.210
Density (g/cm³): 8.187
Formation energy without anion corrections (kJ/mol of atoms): 9

InAg2Sb after structural relaxation. Source: the Alexandria database, functional PBE.

Structure (POSCAR):
```
InAg2Sb
1.0
9.2768 0.0000 0.0000
0.0000 4.4801 0.0000
-3.6452 0.0000 4.7110
In Ag Sb
2 4 2
Direct
0.0000 0.0000 0.0000 In
0.5000 0.5000 0.0000 In
0.2250 0.0000 0.5864 Ag
0.3259 0.5000 0.3299 Ag
0.7250 0.5000 0.5864 Ag
0.8259 0.0000 0.3299 Ag
0.0788 0.5000 0.7084 Sb
0.5788 0.0000 0.7084 Sb
```

Values from the calculation:
Space group: Cm, No. 8
Crystal system: monoclinic
Calculated total energy (eV per cell): -24.506
Density (g/cm³): 7.672
Formation energy without anion corrections (kJ/mol of atoms): 7

InAgSb2 after structural relaxation. Source: the Alexandria database, functional PBE.

Structure (POSCAR):
```
InAgSb2
1.0
3.3667 0.0000 0.0000
0.0000 4.3269 0.0000
0.0000 0.0000 7.0850
In Ag Sb
1 1 2
Direct
0.0000 0.0000 0.0000 In
0.5000 0.5000 0.7563 Ag
0.0000 0.0000 0.5775 Sb
0.5000 0.5000 0.2102 Sb
```

Values from the calculation:
Space group: Pmm2, No. 25
Crystal system: orthorhombic
Calculated total energy (eV per cell): -13.274
Density (g/cm³): 7.501
Formation energy without anion corrections (kJ/mol of atoms): 14

In12Ag3Sb5 after structural relaxation. Source: the Alexandria database, functional PBE.

Structure (POSCAR):
```
In12Ag3Sb5
1.0
-8.5238 8.5238 8.5238
8.5238 -8.5238 8.5238
8.5238 8.5238 -8.5238
In Ag Sb
48 12 20
Direct
0.0627 0.6324 0.3908 In
0.0627 0.9303 0.6719 In
0.0697 0.2416 0.1324 In
0.0697 0.3281 0.9373 In
0.1092 0.7416 0.6719 In
0.1092 0.8676 0.4373 In
0.1324 0.0697 0.2416 In
0.1324 0.5627 0.8908 In
0.1719 0.2416 0.6092 In
0.1719 0.4303 0.5627 In
0.2416 0.1324 0.0697 In
0.2416 0.6092 0.1719 In
0.2584 0.3281 0.8908 In
0.2584 0.4303 0.3676 In
0.3281 0.8908 0.2584 In
0.3281 0.9373 0.0697 In
0.3676 0.2584 0.4303 In
0.3676 0.6092 0.9373 In
0.3908 0.0627 0.6324 In
0.3908 0.8281 0.7584 In
0.4303 0.3676 0.2584 In
0.4303 0.5627 0.1719 In
0.4373 0.1092 0.8676 In
0.4373 0.8281 0.5697 In
0.5627 0.1719 0.4303 In
0.5627 0.8908 0.1324 In
0.5697 0.4373 0.8281 In
0.5697 0.6324 0.7416 In
0.6092 0.1719 0.2416 In
0.6092 0.9373 0.3676 In
0.6324 0.3908 0.0627 In
0.6324 0.7416 0.5697 In
0.6719 0.0627 0.9303 In
0.6719 0.1092 0.7416 In
0.7416 0.5697 0.6324 In
0.7416 0.6719 0.1092 In
0.7584 0.3908 0.8281 In
0.7584 0.8676 0.9303 In
0.8281 0.5697 0.4373 In
0.8281 0.7584 0.3908 In
0.8676 0.4373 0.1092 In
0.8676 0.9303 0.7584 In
0.8908 0.1324 0.5627 In
0.8908 0.2584 0.3281 In
0.9303 0.6719 0.0627 In
0.9303 0.7584 0.8676 In
0.9373 0.0697 0.3281 In
0.9373 0.3676 0.6092 In
0.1250 0.2500 0.3750 Ag
0.1250 0.3750 0.7500 Ag
0.2500 0.3750 0.1250 Ag
0.2500 0.8750 0.6250 Ag
0.3750 0.1250 0.2500 Ag
0.3750 0.7500 0.1250 Ag
0.6250 0.2500 0.8750 Ag
0.6250 0.8750 0.7500 Ag
0.7500 0.1250 0.3750 Ag
0.7500 0.6250 0.8750 Ag
0.8750 0.6250 0.2500 Ag
0.8750 0.7500 0.6250 Ag
0.0000 0.0000 0.0000 Sb
0.0000 0.0000 0.5000 Sb
0.0000 0.5000 0.0000 Sb
0.0000 0.5000 0.5000 Sb
0.1250 0.7500 0.8750 Sb
0.1250 0.8750 0.2500 Sb
0.2500 0.1250 0.8750 Sb
0.2500 0.6250 0.3750 Sb
0.3750 0.2500 0.6250 Sb
0.3750 0.6250 0.7500 Sb
0.5000 0.0000 0.0000 Sb
0.5000 0.0000 0.5000 Sb
0.5000 0.5000 0.0000 Sb
0.5000 0.5000 0.5000 Sb
0.6250 0.3750 0.2500 Sb
0.6250 0.7500 0.3750 Sb
0.7500 0.3750 0.6250 Sb
0.7500 0.8750 0.1250 Sb
0.8750 0.1250 0.7500 Sb
0.8750 0.2500 0.1250 Sb
```

Values from the calculation:
Space group: Ia-3d, No. 230
Crystal system: cubic
Calculated total energy (eV per cell): -242.831
Density (g/cm³): 6.194
Formation energy without anion corrections (kJ/mol of atoms): 6

InAgSb2 after structural relaxation. Source: the Alexandria database, functional PBE.

Structure (POSCAR):
```
InAgSb2
1.0
4.3991 0.0000 0.0000
0.0000 5.3294 0.0000
0.0000 0.0000 8.7005
In Ag Sb
2 2 4
Direct
0.0000 0.0000 0.0000 In
0.5000 0.5000 0.5000 In
0.0000 0.0000 0.5000 Ag
0.5000 0.5000 0.0000 Ag
0.0000 0.5000 0.2319 Sb
0.0000 0.5000 0.7681 Sb
0.5000 0.0000 0.2681 Sb
0.5000 0.0000 0.7319 Sb
```

Values from the calculation:
Space group: Immm, No. 71
Crystal system: orthorhombic
Calculated total energy (eV per cell): -26.296
Density (g/cm³): 7.591
Formation energy without anion corrections (kJ/mol of atoms): 17